Below is an optimized crystal structure of CaRh3, with properties calculated at the PBE level.

- final energy (eV for the cell shown) = -24.13

CIF file:
```
data_CaRh3
_cell_length_a 4.913
_cell_length_b 4.913
_cell_length_c 4.913
_cell_angle_alpha 131.28
_cell_angle_beta 131.28
_cell_angle_gamma 71.37
_symmetry_space_group_name_H-M 'P 1'
_symmetry_Int_Tables_number 1
loop_
_symmetry_equiv_pos_as_xyz
'x,y,z'
loop_
_atom_site_label
_atom_site_type_symbol
_atom_site_fract_x
_atom_site_fract_y
_atom_site_fract_z
Ca1 Ca 0.000 0.000 0.000
Rh1 Rh 0.250 0.750 0.500
Rh2 Rh 0.500 0.500 0.000
Rh3 Rh 0.750 0.250 0.500
```

Below is an optimized crystal structure of CaRh5, with properties calculated at the PBE level.

- final energy (eV for the cell shown) = -38.36

CIF file:
```
data_CaRh5
_cell_length_a 7.622
_cell_length_b 7.622
_cell_length_c 4.468
_cell_angle_alpha 90.00
_cell_angle_beta 90.00
_cell_angle_gamma 158.72
_symmetry_space_group_name_H-M 'P 1'
_symmetry_Int_Tables_number 1
loop_
_symmetry_equiv_pos_as_xyz
'x,y,z'
loop_
_atom_site_label
_atom_site_type_symbol
_atom_site_fract_x
_atom_site_fract_y
_atom_site_fract_z
Ca1 Ca 0.001 0.999 0.000
Rh1 Rh 0.326 0.674 0.000
Rh2 Rh 0.673 0.327 0.000
Rh3 Rh 0.433 0.567 0.500
Rh4 Rh 0.780 0.220 0.500
Rh5 Rh 0.120 0.880 0.500
```

Below is an optimized crystal structure of Ca3Rh, with properties calculated at the PBE level.

- final energy (eV for the cell shown) = -58.72

CIF file:
```
data_Ca3Rh
_cell_length_a 6.440
_cell_length_b 7.729
_cell_length_c 9.486
_cell_angle_alpha 90.00
_cell_angle_beta 90.00
_cell_angle_gamma 90.00
_symmetry_space_group_name_H-M 'P 1'
_symmetry_Int_Tables_number 1
loop_
_symmetry_equiv_pos_as_xyz
'x,y,z'
loop_
_atom_site_label
_atom_site_type_symbol
_atom_site_fract_x
_atom_site_fract_y
_atom_site_fract_z
Ca1 Ca 0.138 0.042 0.750
Ca2 Ca 0.638 0.458 0.250
Ca3 Ca 0.362 0.542 0.750
Ca4 Ca 0.862 0.958 0.250
Ca5 Ca 0.658 0.168 0.933
Ca6 Ca 0.158 0.332 0.067
Ca7 Ca 0.842 0.668 0.567
Ca8 Ca 0.342 0.832 0.433
Ca9 Ca 0.342 0.832 0.067
Ca10 Ca 0.842 0.668 0.933
Ca11 Ca 0.158 0.332 0.433
Ca12 Ca 0.658 0.168 0.567
Rh1 Rh 0.546 0.876 0.750
Rh2 Rh 0.046 0.624 0.250
Rh3 Rh 0.954 0.376 0.750
Rh4 Rh 0.454 0.124 0.250
```

no.,D(E_F) (states/eV/f.u.),calculated formation energy (eV/atom)
1,4.13,-0.02
2,11.07,0.07
3,1.70,-0.33